1.
{"formula": "Sr2ZrCd", "functional": "meta-GGA SCAN", "state": "PBEsol geometry", "lattice_angstrom": [[1.8282, 1.0555, 11.1622], [-1.8282, 1.0555, 11.1622], [0.0000, -2.1110, 11.1622]], "species": ["Sr", "Sr", "Zr", "Cd"], "fractional_positions": [[0.0000, 0.0000, 0.0000], [0.2265, 0.2265, 0.2265], [0.4750, 0.4750, 0.4750], [0.7443, 0.7443, 0.7443]], "total_magnetization_mub_per_fu": 0.922, "dft_energy_ev_per_atom": -26.1153, "formation_energy_ev_per_atom": 0.301, "spacegroup": "R3m (160)"}



2.
{"formula": "TaCd3", "functional": "meta-GGA SCAN", "state": "PBEsol geometry", "lattice_angstrom": [[-1.3939, 5.0076, 2.7390], [1.3939, -5.0076, 2.7390], [1.3939, 5.0076, -2.7390]], "species": ["Ta", "Cd", "Cd", "Cd"], "fractional_positions": [[0.0000, 0.0000, 0.0000], [0.0535, 0.3087, 0.7448], [0.4925, 0.9925, 0.5000], [0.5640, 0.3087, 0.2552]], "total_magnetization_mub_per_fu": 0.000, "dft_energy_ev_per_atom": -39.2260, "formation_energy_ev_per_atom": 0.231, "spacegroup": "Imm2 (44)"}



3.
{"formula": "TaCd2", "functional": "meta-GGA SCAN", "state": "PBEsol geometry", "lattice_angstrom": [[-3.5727, 3.5727, 2.5060], [3.5727, -3.5727, 2.5060], [3.5727, 3.5727, -2.5060]], "species": ["Ta", "Ta", "Cd", "Cd", "Cd", "Cd"], "fractional_positions": [[0.2500, 0.2500, 0.0000], [0.7500, 0.7500, 0.0000], [0.1590, 0.6590, 0.8181], [0.3410, 0.1590, 0.5000], [0.6590, 0.8410, 0.5000], [0.8410, 0.3410, 0.1819]], "total_magnetization_mub_per_fu": 0.000, "dft_energy_ev_per_atom": -41.9861, "formation_energy_ev_per_atom": 0.485, "spacegroup": "I4/mcm (140)"}



4.
{"formula": "TaCd2", "functional": "meta-GGA SCAN", "state": "PBEsol geometry", "lattice_angstrom": [[-1.4260, 1.4260, 14.2523], [1.4260, -1.4260, 14.2523], [1.4260, 1.4260, -14.2523]], "species": ["Ta", "Ta", "Cd", "Cd", "Cd", "Cd"], "fractional_positions": [[0.3750, 0.6250, 0.7500], [0.6250, 0.3750, 0.2500], [0.0459, 0.7959, 0.2500], [0.2041, 0.9541, 0.2500], [0.7959, 0.0459, 0.7500], [0.9541, 0.2041, 0.7500]], "total_magnetization_mub_per_fu": 0.000, "dft_energy_ev_per_atom": -42.2345, "formation_energy_ev_per_atom": 0.236, "spacegroup": "I4_1/amd (141)"}



5.
{"formula": "Ta8Cd", "functional": "meta-GGA SCAN", "state": "PBEsol geometry", "lattice_angstrom": [[-4.8665, 4.8665, 1.6979], [4.8665, -4.8665, 1.6979], [4.8665, 4.8665, -1.6979]], "species": ["Ta", "Ta", "Ta", "Ta", "Ta", "Ta", "Ta", "Ta", "Cd"], "fractional_positions": [[0.0000, 0.3333, 0.3333], [0.0000, 0.6667, 0.6667], [0.3296, 0.3296, 0.6592], [0.3296, 0.6704, 0.0000], [0.3333, 0.0000, 0.3333], [0.6667, 0.0000, 0.6667], [0.6704, 0.3296, 0.0000], [0.6704, 0.6704, 0.3408], [0.0000, 0.0000, 0.0000]], "total_magnetization_mub_per_fu": 0.000, "dft_energy_ev_per_atom": -62.4819, "formation_energy_ev_per_atom": 0.083, "spacegroup": "I4/mmm (139)"}



6.
{"formula": "TaCd2", "functional": "meta-GGA SCAN", "state": "PBEsol geometry", "lattice_angstrom": [[0.0000, 3.8158, 3.8158], [3.8158, 0.0000, 3.8158], [3.8158, 3.8158, 0.0000]], "species": ["Ta", "Ta", "Cd", "Cd", "Cd", "Cd"], "fractional_positions": [[0.1250, 0.1250, 0.1250], [0.8750, 0.8750, 0.8750], [0.0000, 0.5000, 0.5000], [0.5000, 0.0000, 0.5000], [0.5000, 0.5000, 0.0000], [0.5000, 0.5000, 0.5000]], "total_magnetization_mub_per_fu": 0.000, "dft_energy_ev_per_atom": -42.0113, "formation_energy_ev_per_atom": 0.459, "spacegroup": "Fd-3m (227)"}



7.
{"formula": "TaCd2Tc", "functional": "meta-GGA SCAN", "state": "PBEsol geometry", "lattice_angstrom": [[2.7226, -4.6004, 0.0000], [2.7226, 4.6004, 0.0000], [0.0000, 0.0000, 2.7487]], "species": ["Ta", "Cd", "Cd", "Tc"], "fractional_positions": [[0.0000, 0.0000, 0.0000], [0.0000, 0.5000, 0.5000], [0.5000, 0.0000, 0.5000], [0.5000, 0.5000, 0.0000]], "total_magnetization_mub_per_fu": 0.000, "dft_energy_ev_per_atom": -40.2648, "formation_energy_ev_per_atom": 0.353, "spacegroup": "Cmmm (65)"}



8.
{"formula": "Ta2CdTc", "functional": "meta-GGA SCAN", "state": "PBEsol geometry", "lattice_angstrom": [[2.8161, -4.5708, 0.0000], [2.8161, 4.5708, 0.0000], [-0.8132, 0.0000, 2.6148]], "species": ["Ta", "Ta", "Cd", "Tc"], "fractional_positions": [[0.0000, 0.5000, 0.0000], [0.5000, 0.0000, 0.0000], [0.0000, 0.0000, 0.5000], [0.5000, 0.5000, 0.5000]], "total_magnetization_mub_per_fu": 0.000, "dft_energy_ev_per_atom": -49.5086, "formation_energy_ev_per_atom": 0.152, "spacegroup": "C2/m (12)"}



9.
{"formula": "TaCd2Tc", "functional": "meta-GGA SCAN", "state": "PBEsol geometry", "lattice_angstrom": [[2.7221, -4.7067, 0.0000], [2.7221, 4.7067, 0.0000], [-0.5475, 0.0000, 2.6898]], "species": ["Ta", "Cd", "Cd", "Tc"], "fractional_positions": [[0.0000, 0.0000, 0.0000], [0.0000, 0.5000, 0.5000], [0.5000, 0.0000, 0.5000], [0.5000, 0.5000, 0.0000]], "total_magnetization_mub_per_fu": 0.000, "dft_energy_ev_per_atom": -40.2800, "formation_energy_ev_per_atom": 0.338, "spacegroup": "C2/m (12)"}



10.
{"formula": "Ta2CdTc", "functional": "meta-GGA SCAN", "state": "PBEsol geometry", "lattice_angstrom": [[1.6082, -2.3086, 0.0000], [1.6082, 2.3086, 0.0000], [0.0000, 0.0000, 9.2426]], "species": ["Ta", "Ta", "Cd", "Tc"], "fractional_positions": [[0.0000, 0.0000, 0.0000], [0.5000, 0.5000, 0.2520], [0.0000, 0.0000, 0.5229], [0.5000, 0.5000, 0.7790]], "total_magnetization_mub_per_fu": 0.000, "dft_energy_ev_per_atom": -49.5871, "formation_energy_ev_per_atom": 0.073, "spacegroup": "Cmm2 (35)"}



11.
{"formula": "TaCd2Tc", "functional": "meta-GGA SCAN", "state": "PBEsol geometry", "lattice_angstrom": [[-1.9369, 1.9369, 4.5677], [1.9369, -1.9369, 4.5677], [1.9369, 1.9369, -4.5677]], "species": ["Ta", "Cd", "Cd", "Tc"], "fractional_positions": [[0.0000, 0.0000, 0.0000], [0.2500, 0.7500, 0.5000], [0.7500, 0.2500, 0.5000], [0.5000, 0.5000, 0.0000]], "total_magnetization_mub_per_fu": 0.000, "dft_energy_ev_per_atom": -40.3463, "formation_energy_ev_per_atom": 0.272, "spacegroup": "I4/mmm (139)"}



12.
{"formula": "TaCd2Tc", "functional": "meta-GGA SCAN", "state": "PBEsol geometry", "lattice_angstrom": [[2.7653, 0.0000, 0.0000], [0.0000, 4.5523, 0.0000], [0.0000, 0.0000, 5.4640]], "species": ["Ta", "Cd", "Cd", "Tc"], "fractional_positions": [[0.0000, 0.0000, 0.0000], [0.5000, 0.5000, 0.2540], [0.5000, 0.5000, 0.7460], [0.0000, 0.0000, 0.5000]], "total_magnetization_mub_per_fu": 0.000, "dft_energy_ev_per_atom": -40.2788, "formation_energy_ev_per_atom": 0.339, "spacegroup": "Pmmm (47)"}